Entry 1:
Crystalline K4Zn2Sn21 at its relaxed geometry. Source: Alexandria, functional GGA-PBE.

Summary:
- Size of the total moment: 0.00 μB per formula unit
- N(E_F): 0.003 states/eV per atom
- VASP energy: -381.16 eV per cell
- Energy of formation from the pure elements: -0.159 eV per atom

Unit cell a=12.279 b=17.346 c=17.368 alpha=90.00 beta=90.00 gamma=90.00
Space group Ama2 (No. 40)
Inequivalent atoms, fractional coordinates:
1 K 0.000 0.000 0.000 [4 per cell]
2 K 0.250 0.114 0.652 [4 per cell]
3 K 0.250 0.253 0.271 [4 per cell]
4 K 0.250 0.371 0.906 [4 per cell]
5 Zn 0.000 0.000 0.522 [4 per cell]
6 Zn 0.250 0.124 0.896 [4 per cell]
7 Sn 0.057 0.306 0.715 [8 per cell]
8 Sn 0.066 0.247 0.453 [8 per cell]
9 Sn 0.068 0.067 0.274 [8 per cell]
10 Sn 0.068 0.432 0.270 [8 per cell]
11 Sn 0.070 0.251 0.087 [8 per cell]
12 Sn 0.071 0.188 0.833 [8 per cell]
13 Sn 0.130 0.410 0.111 [8 per cell]
14 Sn 0.131 0.088 0.433 [8 per cell]
15 Sn 0.250 0.040 0.173 [4 per cell]
16 Sn 0.250 0.150 0.048 [4 per cell]
17 Sn 0.250 0.347 0.481 [4 per cell]
18 Sn 0.250 0.375 0.646 [4 per cell]
19 Sn 0.250 0.472 0.368 [4 per cell]

***

Entry 2:
Crystalline Np2MnS4 at its relaxed geometry. Source: Alexandria, functional GGA-PBE.

Summary:
- Formation energy from raw total energies: -1102 meV/atom
- Size of the total moment: 3.00 μB per formula unit
- N(E_F): 2.455 states/eV per atom
- VASP energy: -118.55 eV per cell

Unit cell a=13.536 b=3.886 c=6.884 alpha=90.00 beta=119.40 gamma=90.00
Space group C2/m (No. 12)
Inequivalent atoms, fractional coordinates:
1 Np 0.227 0.000 0.225 [4 per cell]
2 Mn 0.000 0.500 0.500 [2 per cell]
3 S 0.119 0.500 0.921 [4 per cell]
4 S 0.131 0.000 0.495 [4 per cell]

***

Entry 3:
Crystalline TaCoNi at its relaxed geometry. Source: Alexandria, functional GGA-PBE.

Summary:
- Size of the total moment: 0.43 μB per formula unit
- N(E_F): 0.918 states/eV per atom
- VASP energy: -24.94 eV per cell
- Energy of formation from the pure elements: -0.066 eV per atom
- Excess energy over the best structure of this formula in the dataset: 0.61 eV/f.u.

Unit cell a=4.1482 b=4.1482 c=2.6551 alpha=90.00 beta=90.00 gamma=120.00
Space group P3m1 (No. 156)
Inequivalent atoms, fractional coordinates:
1 Ta 0.0000 0.0000 0.0000 [1 per cell]
2 Co 0.6667 0.3333 0.3041 [1 per cell]
3 Ni 0.3333 0.6667 0.6607 [1 per cell]

***

Entry 4:
Crystalline InIr2Rh at its relaxed geometry. Source: Alexandria, functional GGA-PBE.

Summary:
- Size of the total moment: 0.00 μB per formula unit
- N(E_F): 1.383 states/eV per atom
- VASP energy: -54.24 eV per cell
- Energy of formation from the pure elements: 0.172 eV per atom

Unit cell a=2.831 b=4.762 c=9.545 alpha=90.00 beta=90.00 gamma=90.00
Space group Imm2 (No. 44)
Inequivalent atoms, fractional coordinates:
1 In 0.000 0.000 0.000 [2 per cell]
2 Ir 0.000 0.000 0.505 [2 per cell]
3 Ir 0.000 0.500 0.239 [2 per cell]
4 Rh 0.000 0.500 0.761 [2 per cell]

***

Entry 5:
Crystalline Ca5TlO6 at its relaxed geometry. Source: Alexandria, functional GGA-PBE.

Summary:
- Formation energy from raw total energies: -2521 meV/atom
- Size of the total moment: 0.54 μB per formula unit
- N(E_F): 0.383 states/eV per atom
- VASP energy: -144.75 eV per cell

Unit cell a=6.007 b=10.393 c=5.998 alpha=90.00 beta=109.57 gamma=90.00
Space group C2/m (No. 12)
Inequivalent atoms, fractional coordinates:
1 Ca 0.000 0.000 0.000 [2 per cell]
2 Ca 0.000 0.167 0.500 [4 per cell]
3 Ca 0.000 0.335 0.000 [4 per cell]
4 Tl 0.000 0.500 0.500 [2 per cell]
5 O 0.236 0.000 0.762 [4 per cell]
6 O 0.238 0.176 0.242 [8 per cell]

***

Entry 6:
Crystalline FeSi2Tc2 at its relaxed geometry. Source: Alexandria, functional GGA-PBE.

Summary:
- Formation energy from raw total energies: -251 meV/atom
- Size of the total moment: 3.29 μB per formula unit
- N(E_F): 0.580 states/eV per atom
- VASP energy: -82.59 eV per cell
- Excess energy over the best structure of this formula in the dataset: 0.14 eV/f.u.

Unit cell a=6.613 b=6.613 c=3.077 alpha=90.00 beta=90.00 gamma=90.00
Space group P4/mbm (No. 127)
Inequivalent atoms, fractional coordinates:
1 Fe 0.000 0.000 0.000 [2 per cell]
2 Si 0.140 0.360 0.000 [4 per cell]
3 Tc 0.157 0.657 0.500 [4 per cell]

***

Entry 7:
Crystalline CsSrCr3 at its relaxed geometry. Source: Alexandria, functional GGA-PBE.

Summary:
- Size of the total moment: 11.32 μB per formula unit
- N(E_F): 1.072 states/eV per atom
- VASP energy: -20.75 eV per cell
- Energy of formation from the pure elements: 2.130 eV per atom

Unit cell a=5.360 b=5.360 c=5.360 alpha=90.00 beta=90.00 gamma=90.00
Space group Pm-3m (No. 221)
Inequivalent atoms, fractional coordinates:
1 Cs 0.000 0.000 0.000 [1 per cell]
2 Sr 0.500 0.500 0.500 [1 per cell]
3 Cr 0.000 0.000 0.500 [3 per cell]

***

Entry 8:
Crystalline MgTe2Br at its relaxed geometry. Source: Alexandria, functional GGA-PBE.

Summary:
- Formation energy from raw total energies: -594 meV/atom
- Size of the total moment: 0.00 μB per formula unit
- N(E_F): 0.221 states/eV per atom
- VASP energy: -23.86 eV per cell
- Excess energy over the best structure of this formula in the dataset: 0.13 eV/f.u.

Unit cell a=5.153 b=10.806 c=4.580 alpha=90.00 beta=90.00 gamma=90.00
Space group Cmmm (No. 65)
Inequivalent atoms, fractional coordinates:
1 Mg 0.000 0.000 0.000 [2 per cell]
2 Te 0.000 0.189 0.500 [4 per cell]
3 Br 0.000 0.500 0.000 [2 per cell]

***

- What is the formula in the seventh record?
  CsSrCr3

***

- Look up the size of the total moment of the seventh one.
  11.32 μB per formula unit

***

- Look up the VASP energy of the fifth one.
  -144.75 eV per cell